Density functional theory data (PBE) for an optimized crystal structure of Cs12BiO3.

## Properties
The value obtained for the calculated volume is 71.9 A^3/atom. The uncorrected formation energy comes out at -9.9 eV per formula unit. The value obtained for the theoretical density is 2.7 Mg/m³. As for the space group: P6_3/m, No. 176.

Unit cell a=10.2001 b=16.1332 c=16.1332 alpha=120.00 beta=90.00 gamma=90.00
Closest atoms and distances in Å follow each position.
Sites, in units of the cell vectors:
O 0.2500 0.3902 0.2970  4 Cs 2.64-2.74
O 0.2500 0.9068 0.6098  4 Cs 2.64-2.74
O 0.2500 0.7030 0.0932  4 Cs 2.64-2.74
O 0.7500 0.6098 0.7030  4 Cs 2.64-2.74
O 0.7500 0.2970 0.9068  4 Cs 2.64-2.74
O 0.7500 0.0932 0.3902  4 Cs 2.64-2.74
Cs 0.9692 0.2065 0.4501  1 O 2.74
Cs 0.9692 0.5499 0.7564  1 O 2.74
Cs 0.2500 0.5138 0.9727  1 O 2.68
Cs 0.2500 0.2028 0.1842  1 O 2.64
Cs 0.7500 0.4862 0.0273  1 O 2.68
Cs 0.2500 0.0273 0.5411  1 O 2.68
Cs 0.4692 0.4501 0.2436  1 O 2.74
Cs 0.0308 0.7935 0.5499  1 O 2.74
Cs 0.2500 0.8158 0.0187  1 O 2.64
Cs 0.0308 0.4501 0.2436  1 O 2.74
Cs 0.4692 0.7935 0.5499  1 O 2.74
Cs 0.5308 0.2065 0.4501  1 O 2.74
Cs 0.7500 0.7972 0.8158  1 O 2.64
Cs 0.5308 0.2436 0.7935  1 O 2.74
Cs 0.7500 0.9727 0.4589  1 O 2.68
Cs 0.7500 0.5411 0.5138  1 O 2.68
Cs 0.4692 0.7564 0.2065  1 O 2.74
Cs 0.9692 0.2436 0.7935  1 O 2.74
Cs 0.0308 0.7564 0.2065  1 O 2.74
Cs 0.7500 0.1842 0.9813  1 O 2.64
Cs 0.7500 0.0187 0.2028  1 O 2.64
Cs 0.5308 0.5499 0.7564  1 O 2.74
Cs 0.2500 0.9813 0.7972  1 O 2.64
Cs 0.2500 0.4589 0.4862  1 O 2.68
Bi 0.7500 0.6667 0.3333  9 Cs 4.18-4.30
Bi 0.2500 0.3333 0.6667  9 Cs 4.18-4.30